ZrI2: relaxed, GGA-PBE.

The final energy is -0.202 Ry/atom. The total moment is 2.91 μB/f.u.

The structure in extended XYZ format:
```
6
Lattice="0.000 4.706 4.706 4.706 0.000 4.706 4.706 4.706 0.000" Properties=species:S:1:pos:R:3 pbc="T T T"
Zr 1.177 1.177 1.177
Zr 8.236 8.236 8.236
I 4.706 2.353 2.353
I 2.353 4.706 2.353
I 2.353 2.353 4.706
I 4.706 4.706 4.706
```